# LiZn6, optimized geometry, DFT GGA-PBE
data_LiZn6
_chemical_formula_sum 'Li4 Zn24'
_cell_length_a 7.633
_cell_length_b 7.633
_cell_length_c 7.633
_cell_angle_alpha 90.00
_cell_angle_beta 90.00
_cell_angle_gamma 90.00
_space_group_name_H-M_alt 'F m -3 m'
_space_group_IT_number 225
_space_group_name_Hall '-F 4 2 3'
loop_
_atom_site_label
_atom_site_type_symbol
_atom_site_fract_x
_atom_site_fract_y
_atom_site_fract_z
Li1 Li 0.000 0.000 0.000
Zn1 Zn 0.000 0.250 0.250
# Crystal system: cubic
# Energy above the most stable polymorph in this dataset, meV/atom: 82
# Calculated total energy, eV per atom: -1.365